Version w
Compound: LiReOs2
Source: Alexandria
Functional: GGA-PBE
Structure: relaxed

Unit cell a=4.2734 b=4.2734 c=4.2734 alpha=60.00 beta=60.00 gamma=60.00
Last column: nearest neighbours and their distance in Å.
Element x y z (fractional)
Li: 0.0000 0.0000 0.0000  4 Re 2.62, 4 Os 2.62
Re: 0.7500 0.7500 0.7500  4 Li 2.62, 4 Os 2.62
Os: 0.2500 0.2500 0.2500  4 Li 2.62, 4 Os 2.62
Os: 0.5000 0.5000 0.5000  4 Re 2.62, 4 Os 2.62

Results
* volume: 55.2 Å³/cell
* N(E_F): 0.741 states/eV/atom
* ρ: 17.3 g cm⁻³

***

Version x
Compound: LiReOs2
Source: Alexandria
Functional: GGA-PBE
Structure: relaxed

Unit cell a=5.0321 b=5.0321 c=5.0321 alpha=146.88 beta=127.65 gamma=63.36
Last column: nearest neighbours and their distance in Å.
Element x y z (fractional)
Li: 0.0000 0.0000 0.0000  4 Os 2.53, 4 Re 2.64
Re: 0.5000 0.5000 0.0000  4 Os 2.62, 4 Li 2.64, 2 Re 2.87
Os: 0.2437 0.7437 0.5000  2 Li 2.53, 2 Re 2.62, 4 Os 2.64
Os: 0.7563 0.2563 0.5000  2 Li 2.53, 2 Re 2.62, 4 Os 2.64

Results
* volume: 54.5 Å³/cell
* N(E_F): 0.798 states/eV/atom
* ρ: 17.5 g cm⁻³

***

Version y
Compound: LiReOs2
Source: Alexandria
Functional: GGA-PBE
Structure: relaxed

Unit cell a=4.2685 b=4.2685 c=4.2685 alpha=60.00 beta=60.00 gamma=60.00
Last column: nearest neighbours and their distance in Å.
Element x y z (fractional)
Li: 0.0000 0.0000 0.0000  8 Os 2.61
Re: 0.5000 0.5000 0.5000  8 Os 2.61
Os: 0.2500 0.2500 0.2500  4 Re 2.61, 4 Li 2.61
Os: 0.7500 0.7500 0.7500  4 Li 2.61, 4 Re 2.61

Results
* volume: 55.0 Å³/cell
* N(E_F): 0.310 states/eV/atom
* ρ: 17.3 g cm⁻³

***

Version z
Compound: LiReOs2
Source: Alexandria
Functional: GGA-PBE
Structure: relaxed

Unit cell a=2.7376 b=3.8190 c=5.2840 alpha=90.00 beta=90.00 gamma=90.00
Last column: nearest neighbours and their distance in Å.
Element x y z (fractional)
Li: 0.0000 0.0000 0.0000  2 Re 2.64, 8 Os 2.66, 2 Li 2.74
Re: 0.0000 0.0000 0.5000  2 Li 2.64, 8 Os 2.74, 2 Re 2.74
Os: 0.5000 0.5000 0.2350  3 Os 2.48-2.74, 4 Li 2.66, 4 Re 2.74
Os: 0.5000 0.5000 0.7650  3 Os 2.48-2.74, 4 Li 2.66, 4 Re 2.74

Results
* volume: 55.2 Å³/cell
* N(E_F): 0.889 states/eV/atom
* ρ: 17.2 g cm⁻³

***

Relative energies, in eV/atom, with the most stable structure set to zero: version w 0.217; version x 0.181; version y 0.000; version z 0.130.

***

Version w
Compound: LiReOs2
Source: Alexandria
Functional: GGA-PBE
Structure: relaxed

Unit cell a=2.6855 b=4.0268 c=5.1898 alpha=90.00 beta=101.18 gamma=90.00
Last column: nearest neighbours and their distance in Å.
Element x y z (fractional)
Li: 0.0000 0.0000 0.0000  4 Os 2.51-2.61, 2 Re 2.57, 2 Li 2.69
Re: 0.5414 0.5000 0.7520  4 Os 2.52-2.69, 2 Li 2.57, 2 Re 2.69
Os: 0.0207 0.0000 0.4989  2 Li 2.58-2.61, 4 Re 2.65-2.84, 6 Os 2.69-2.82
Os: 0.4431 0.5000 0.2261  2 Li 2.51, 2 Re 2.52-2.69, 4 Os 2.69-2.76

Results
* volume: 55.1 Å³/cell
* N(E_F): 0.709 states/eV/atom
* ρ: 17.3 g cm⁻³

***

Version x
Compound: LiReOs2
Source: Alexandria
Functional: GGA-PBE
Structure: relaxed

Unit cell a=2.9512 b=2.9512 c=6.0925 alpha=90.00 beta=90.00 gamma=90.00
Last column: nearest neighbours and their distance in Å.
Element x y z (fractional)
Li: 0.0000 0.0000 0.0000  4 Os 2.46, 4 Re 2.51
Re: 0.5000 0.5000 0.7700  4 Li 2.51, 5 Os 2.66-2.70
Os: 0.0000 0.0000 0.4983  4 Re 2.66, 8 Os 2.72-2.95
Os: 0.5000 0.5000 0.2125  4 Li 2.46, 1 Re 2.70, 4 Os 2.72

Results
* volume: 53.1 Å³/cell
* N(E_F): 0.717 states/eV/atom
* ρ: 18.0 g cm⁻³

***

Relative energies, in eV/atom, with the most stable structure set to zero: version w 0.000; version x 0.151.

***

Version w
Compound: LiReOs2
Source: Alexandria
Functional: GGA-PBE
Structure: relaxed

Unit cell a=2.7839 b=4.4478 c=4.5206 alpha=90.00 beta=90.00 gamma=90.00
Last column: nearest neighbours and their distance in Å.
Element x y z (fractional)
Li: 0.0000 0.0000 0.0000  4 Os 2.62, 4 Re 2.65, 2 Li 2.78
Re: 0.5000 0.0000 0.5000  4 Os 2.62, 4 Li 2.65, 2 Re 2.78
Os: 0.0000 0.5000 0.5000  4 Re 2.62, 6 Os 2.65-2.78
Os: 0.5000 0.5000 0.0000  4 Li 2.62, 6 Os 2.65-2.78

Results
* volume: 56.0 Å³/cell
* N(E_F): 0.717 states/eV/atom
* ρ: 17.0 g cm⁻³

***

Version x
Compound: LiReOs2
Source: Alexandria
Functional: GGA-PBE
Structure: relaxed

Unit cell a=2.7178 b=3.9145 c=5.2001 alpha=90.00 beta=90.00 gamma=90.00
Last column: nearest neighbours and their distance in Å.
Element x y z (fractional)
Li: 0.0000 0.0000 0.0000  6 Os 2.58-2.65, 4 Re 2.71, 2 Li 2.72
Re: 0.5000 0.5000 0.7529  5 Os 2.45-2.73, 4 Li 2.71, 2 Re 2.72
Os: 0.0000 0.0000 0.4967  2 Li 2.58-2.62, 6 Os 2.72-2.77, 4 Re 2.73
Os: 0.5000 0.5000 0.2233  1 Re 2.45, 4 Li 2.65, 2 Os 2.72

Results
* volume: 55.3 Å³/cell
* N(E_F): 0.919 states/eV/atom
* ρ: 17.2 g cm⁻³

***

Relative energies, in eV/atom, with the most stable structure set to zero: version w 0.193; version x 0.000.

***

Version w
Compound: LiReOs2
Source: Alexandria
Functional: GGA-PBE
Structure: relaxed

Unit cell a=9.1596 b=9.1596 c=9.1596 alpha=17.17 beta=17.17 gamma=17.17
Last column: nearest neighbours and their distance in Å.
Element x y z (fractional)
Li: 0.0000 0.0000 0.0000  6 Li 2.73, 6 Os 2.82
Re: 0.5000 0.5000 0.5000  6 Os 2.69, 6 Re 2.73
Os: 0.2471 0.2471 0.2471  3 Re 2.69, 6 Os 2.73, 3 Li 2.82
Os: 0.7529 0.7529 0.7529  3 Re 2.69, 6 Os 2.73, 3 Li 2.82

Results
* volume: 58.4 Å³/cell
* N(E_F): 0.988 states/eV/atom
* ρ: 16.3 g cm⁻³

***

Version x
Compound: LiReOs2
Source: Alexandria
Functional: GGA-PBE
Structure: relaxed

Unit cell a=4.4740 b=4.4740 c=4.8623 alpha=95.08 beta=95.08 gamma=35.17
Last column: nearest neighbours and their distance in Å.
Element x y z (fractional)
Li: 0.0000 0.0000 0.0000  6 Os 2.48-2.72, 2 Li 2.70
Re: 0.5000 0.5000 0.5000  6 Os 2.62-2.71, 2 Re 2.70, 4 Li 2.78
Os: 0.2454 0.2454 0.7642  3 Li 2.48-2.72, 3 Re 2.62-2.71, 4 Os 2.66-2.70
Os: 0.7546 0.7546 0.2358  3 Li 2.48-2.72, 3 Re 2.62-2.71, 4 Os 2.66-2.70

Results
* volume: 55.8 Å³/cell
* N(E_F): 0.629 states/eV/atom
* ρ: 17.1 g cm⁻³

***

Version y
Compound: LiReOs2
Source: Alexandria
Functional: GGA-PBE
Structure: relaxed

Unit cell a=5.7573 b=5.7573 c=5.7573 alpha=101.08 beta=101.08 gamma=128.01
Last column: nearest neighbours and their distance in Å.
Element x y z (fractional)
Li: 0.0000 0.0000 0.0000  2 Re 2.52
Li: 0.7500 0.2500 0.5000  2 Re 2.52
Re: 0.2500 0.7500 0.5000  4 Os 2.42, 2 Li 2.52
Re: 0.5000 0.5000 0.0000  4 Os 2.42, 2 Li 2.52
Os: 0.1759 0.1250 0.5509  2 Re 2.42, 2 Os 2.63
Os: 0.3750 0.8241 0.9491  2 Re 2.42, 2 Os 2.63
Os: 0.5741 0.6250 0.4491  2 Re 2.42, 2 Os 2.63
Os: 0.8750 0.4259 0.0509  2 Re 2.42, 2 Os 2.63

Results
* volume: 135.1 Å³/cell
* N(E_F): 0.254 states/eV/atom
* ρ: 14.1 g cm⁻³

***

Relative energies, in eV/atom, with the most stable structure set to zero: version w 0.000; version x 0.091; version y 0.667.

***

Version w
Compound: LiReOs2
Source: Alexandria
Functional: GGA-PBE
Structure: relaxed

Unit cell a=2.6801 b=2.6801 c=9.1314 alpha=90.00 beta=90.00 gamma=116.74
Last column: nearest neighbours and their distance in Å.
Element x y z (fractional)
Li: 0.0000 0.0000 0.0000  6 Li 2.68-2.81, 4 Os 2.70
Re: 0.0000 0.0000 0.5000  4 Os 2.66, 6 Re 2.68-2.81
Os: 0.5000 0.5000 0.2526  2 Re 2.66, 6 Os 2.68-2.81, 2 Li 2.70
Os: 0.5000 0.5000 0.7474  2 Re 2.66, 6 Os 2.68-2.81, 2 Li 2.70

Results
* volume: 58.6 Å³/cell
* N(E_F): 0.764 states/eV/atom
* ρ: 16.3 g cm⁻³

***

Version x
Compound: LiReOs2
Source: Alexandria
Functional: GGA-PBE
Structure: relaxed

Unit cell a=2.6660 b=2.6660 c=9.2641 alpha=90.00 beta=90.00 gamma=116.59
Last column: nearest neighbours and their distance in Å.
Element x y z (fractional)
Li: 0.0000 0.0000 0.0000  6 Li 2.67-2.80, 2 Os 2.69, 2 Re 2.78
Re: 0.5000 0.5000 0.2592  2 Os 2.65, 6 Re 2.67-2.80, 2 Li 2.78
Os: 0.0000 0.0000 0.5023  2 Re 2.65, 8 Os 2.67-2.80
Os: 0.5000 0.5000 0.7527  8 Os 2.67-2.80, 2 Li 2.69

Results
* volume: 58.9 Å³/cell
* N(E_F): 0.894 states/eV/atom
* ρ: 16.2 g cm⁻³

***

Version y
Compound: LiReOs2
Source: Alexandria
Functional: GGA-PBE
Structure: relaxed

Unit cell a=4.7454 b=4.7454 c=4.6777 alpha=97.70 beta=97.70 gamma=32.85
Last column: nearest neighbours and their distance in Å.
Element x y z (fractional)
Li: 0.0000 0.0000 0.0000  7 Os 2.58-2.82, 3 Re 2.62-2.88, 2 Li 2.68
Re: 0.2358 0.2358 0.7361  3 Li 2.62-2.88, 2 Re 2.68, 7 Os 2.69-2.73
Os: 0.4927 0.4927 0.4971  5 Os 2.65-2.87, 4 Li 2.69-2.70, 3 Re 2.69-2.73
Os: 0.7609 0.7609 0.2381  3 Li 2.58-2.82, 5 Os 2.65-2.87, 4 Re 2.69-2.73

Results
* volume: 56.6 Å³/cell
* N(E_F): 0.763 states/eV/atom
* ρ: 16.8 g cm⁻³

***

Version z
Compound: LiReOs2
Source: Alexandria
Functional: GGA-PBE
Structure: relaxed

Unit cell a=4.7772 b=4.7772 c=4.7772 alpha=134.12 beta=134.12 gamma=66.89
Last column: nearest neighbours and their distance in Å.
Element x y z (fractional)
Li: 0.0000 0.0000 0.0000  8 Os 2.63-2.73, 4 Re 2.73
Re: 0.7500 0.2500 0.5000  8 Os 2.63-2.73, 4 Li 2.73
Os: 0.2500 0.7500 0.5000  4 Re 2.63, 4 Li 2.73, 4 Os 2.73
Os: 0.5000 0.5000 0.0000  4 Li 2.63, 4 Re 2.73, 4 Os 2.73

Results
* volume: 55.3 Å³/cell
* N(E_F): 0.978 states/eV/atom
* ρ: 17.2 g cm⁻³

***

Relative energies, in eV/atom, with the most stable structure set to zero: version w 0.113; version x 0.194; version y 0.000; version z 0.100.

***

Version w
Compound: Li2Re2Os
Source: Alexandria
Functional: GGA-PBE
Structure: relaxed

Unit cell a=6.5412 b=6.5412 c=2.9296 alpha=90.00 beta=90.00 gamma=90.00
Last column: nearest neighbours and their distance in Å.
Element x y z (fractional)
Li: 0.1639 0.3361 0.0000  6 Re 2.39-2.44, 2 Os 2.45
Li: 0.3361 0.8361 0.0000  6 Re 2.39-2.44, 2 Os 2.45
Li: 0.6639 0.1639 0.0000  6 Re 2.39-2.44, 2 Os 2.45
Li: 0.8361 0.6639 0.0000  6 Re 2.39-2.44, 2 Os 2.45
Re: 0.1318 0.6318 0.5000  6 Li 2.39-2.44, 1 Re 2.44
Re: 0.3682 0.1318 0.5000  6 Li 2.39-2.44, 1 Re 2.44
Re: 0.6318 0.8682 0.5000  6 Li 2.39-2.44, 1 Re 2.44
Re: 0.8682 0.3682 0.5000  6 Li 2.39-2.44, 1 Re 2.44
Os: 0.0000 0.0000 0.0000  4 Li 2.45
Os: 0.5000 0.5000 0.0000  4 Li 2.45

Results
* volume: 125.4 Å³/cell
* N(E_F): 0.480 states/eV/atom
* ρ: 15.3 g cm⁻³

***

Version x
Compound: Li2Re2Os
Source: Alexandria
Functional: GGA-PBE
Structure: relaxed

Unit cell a=5.4393 b=5.4393 c=5.4393 alpha=140.62 beta=140.62 gamma=56.92
Last column: nearest neighbours and their distance in Å.
Element x y z (fractional)
Li: 0.0829 0.0829 0.0000  1 Li 1.59
Li: 0.9171 0.9171 0.0000  1 Li 1.59
Re: 0.2500 0.7500 0.5000  4 Li 2.43, 4 Re 2.59
Re: 0.7500 0.2500 0.5000  4 Li 2.43, 4 Re 2.59
Os: 0.5000 0.5000 0.0000  8 Li 2.71, 8 Re 3.01

Results
* volume: 64.3 Å³/cell
* N(E_F): 0.775 states/eV/atom
* ρ: 14.9 g cm⁻³

***

Relative energies, in eV/atom, with the most stable structure set to zero: version w 0.000; version x 0.200.